Entry 1:
# PBE Co3OsCl, optimized geometry
# **Excess energy over the best structure of this formula in the dataset**: 321 meV/atom
# **Formation energy without anion corrections**: 1.5049 eV per atom
# **Fermi-level density of states**: 5.1 states/eV per cell
# **Electronic total energy**: -5.3739 eV/atom
data_Co3OsCl
_chemical_formula_sum 'Co3 Os1 Cl1'
_cell_length_a 4.616
_cell_length_b 4.616
_cell_length_c 4.616
_cell_angle_alpha 90.00
_cell_angle_beta 90.00
_cell_angle_gamma 90.00
_symmetry_space_group_name_H-M 'P m -3 m'
_symmetry_Int_Tables_number 221
_symmetry_space_group_name_Hall '-P 4 2 3'
loop_
_atom_site_label
_atom_site_type_symbol
_atom_site_fract_x
_atom_site_fract_y
_atom_site_fract_z
_atom_site_occupancy
Co1 Co 0.000 0.000 0.500 1
Os1 Os 0.000 0.000 0.000 1
Cl1 Cl 0.500 0.500 0.500 1



Entry 2:
# PBE CoOsCl4, optimized geometry
# **Formation energy without anion corrections**: 1.7874 eV per atom
# **Fermi-level density of states**: 22.4 states/eV per cell
# **Electronic total energy**: -2.4997 eV/atom
data_CoOsCl4
_chemical_formula_sum 'Co4 Os4 Cl16'
_cell_length_a 7.992
_cell_length_b 7.992
_cell_length_c 7.992
_cell_angle_alpha 90.00
_cell_angle_beta 90.00
_cell_angle_gamma 90.00
_symmetry_space_group_name_H-M 'F -4 3 m'
_symmetry_Int_Tables_number 216
_symmetry_space_group_name_Hall 'F -4 2 3'
loop_
_atom_site_label
_atom_site_type_symbol
_atom_site_fract_x
_atom_site_fract_y
_atom_site_fract_z
_atom_site_occupancy
Co1 Co 0.000 0.000 0.000 1
Os1 Os 0.250 0.250 0.750 1
Cl1 Cl 0.124 0.124 0.376 1



Entry 3:
# PBE Co2OsCl, optimized geometry
# **Excess energy over the best structure of this formula in the dataset**: 501 meV/atom
# **Formation energy without anion corrections**: 0.8345 eV per atom
# **Fermi-level density of states**: 9.9 states/eV per cell
# **Electronic total energy**: -5.9876 eV/atom
data_Co2OsCl
_chemical_formula_sum 'Co4 Os2 Cl2'
_cell_length_a 2.724
_cell_length_b 4.465
_cell_length_c 8.791
_cell_angle_alpha 90.00
_cell_angle_beta 90.00
_cell_angle_gamma 90.00
_symmetry_space_group_name_H-M 'I m m 2'
_symmetry_Int_Tables_number 44
_symmetry_space_group_name_Hall 'I 2 -2'
loop_
_atom_site_label
_atom_site_type_symbol
_atom_site_fract_x
_atom_site_fract_y
_atom_site_fract_z
_atom_site_occupancy
Co1 Co 0.000 0.000 0.000 1
Co2 Co 0.000 0.500 0.241 1
Os1 Os 0.000 0.000 0.485 1
Cl1 Cl 0.000 0.500 0.748 1